1.
Entry from Alexandria: crystalline TbMg3Pb6 at its relaxed geometry (PBE).

The total moment is 0.0 Bohr magnetons per cell. For the density of states at the Fermi level, the calculation gives 11.34 states/eV per cell. The energy above the lowest structure with this stoichiometry comes out at 0 meV/atom. The formation energy comes out at -1.1 eV per formula unit. The value obtained for the density is 8.83 g/cm3.

It has space group P2_1/m (No. 11), with a = 10.208 Å, b = 4.823 Å, c = 11.318 Å, α = 90.00°, β = 95.51° and γ = 90.00°. Symmetry generates all atoms from Tb at (0.061, 0.250, 0.387), Mg at (0.249, 0.250, 0.004), Mg at (0.344, 0.750, 0.803), Mg at (0.444, 0.250, 0.599), Pb at (0.063, 0.750, 0.905), Pb at (0.158, 0.750, 0.198), Pb at (0.162, 0.250, 0.698), Pb at (0.262, 0.750, 0.505), Pb at (0.375, 0.250, 0.302) and Pb at (0.456, 0.750, 0.095).

=====

2.
Entry from Alexandria: crystalline ThNb2Ru at its relaxed geometry (PBE).

The total moment is 0.0 Bohr magnetons per cell. For the density of states at the Fermi level, the calculation gives 18.31 states/eV per cell. The formation energy comes out at 2.0 eV per formula unit. The value obtained for the density is 10.63 g/cm3.

It has space group R-3m (No. 166, hexagonal axes), with a = 3.0418 Å, b = 3.0418 Å, c = 30.3430 Å, α = 90.00°, β = 90.00° and γ = 120.00°. Symmetry generates all atoms from Th at (0.0000, 0.0000, 0.0000), Nb at (0.0000, 0.0000, 0.0970) and Ru at (0.0000, 0.0000, 0.5000).

=====

3.
Entry from Alexandria: crystalline Ti7Ni5Ir at its relaxed geometry (PBE).

The total moment is 0.0 Bohr magnetons per cell. For the density of states at the Fermi level, the calculation gives 31.84 states/eV per cell. The formation energy comes out at -4.7 eV per formula unit. The value obtained for the density is 7.29 g/cm3.

It has space group Imm2 (No. 44), with a = 4.908 Å, b = 8.608 Å, c = 8.846 Å, α = 90.00°, β = 90.00° and γ = 90.00°. Symmetry generates all atoms from Ti at (0.000, 0.000, 0.000), Ti at (0.000, 0.000, 0.364), Ti at (0.000, 0.303, 0.807), Ti at (0.000, 0.343, 0.340), Ti at (0.000, 0.500, 0.067), Ni at (0.000, 0.500, 0.599), Ni at (0.249, 0.241, 0.568) and Ir at (0.000, 0.000, 0.714).

=====

4.
Entry from Alexandria: crystalline SrSiBi at its relaxed geometry (PBE).

The total moment is 0.0 Bohr magnetons per cell. For the density of states at the Fermi level, the calculation gives 3.38 states/eV per cell. The value obtained for the density is 5.65 g/cm3. The formation energy without anion corrections comes out at -0.34 eV/atom.

It has space group Imma (No. 74), with a = 4.325 Å, b = 9.593 Å, c = 9.195 Å, α = 90.00°, β = 90.00° and γ = 90.00°. Symmetry generates all atoms from Sr at (0.000, 0.000, 0.000), Si at (0.000, 0.250, 0.309) and Bi at (0.000, 0.250, 0.614).